The following is a PBE calculation of a relaxed structure of B3TeBr, from Alexandria via LeMat-Bulk.

Cell: 4.321 4.321 4.321 Å, 90.00 90.00 90.00°
Sites, in units of the cell vectors:
B (0.500, 0.000, 0.000)
B (0.000, 0.500, 0.000)
B (0.000, 0.000, 0.500)
Te (0.500, 0.500, 0.500)
Br (0.000, 0.000, 0.000)

Calculated volume, Å³ per atom: 16.1
Energy relative to the lowest polymorph listed for this composition, eV per atom: 0.178
Magnetic moment, μB per atom: 0.0000

=====

The following is a PBE calculation of a relaxed structure of FeSiPb2Br, from Alexandria via LeMat-Bulk.

Cell: 5.656 4.468 5.656 Å, 90.00 90.00 90.00°
Last column: magnetic moment on the atom in μB.
Sites, in units of the cell vectors:
Fe (0.000, 0.500, 0.000)  2.69
Pb (0.500, 0.000, 0.000)  -0.04
Pb (0.000, 0.000, 0.500)  -0.01
Br (0.500, 0.500, 0.500)  0.00
Si (0.000, 0.000, 0.000)  -0.05

Calculated volume, Å³ per atom: 28.6
Magnetic moment, μB per atom: 0.5267

=====

Number 1: uncorrected formation energy 2.363 eV per atom, calculated total energy -2.607 eV per atom. Number 2: uncorrected formation energy 0.417 eV per atom, calculated total energy -4.178 eV per atom.